VASP calculation (PBE-GGA) on a relaxed Pa2FeH crystal.

Geometry as extended XYZ:
```
4
Lattice="3.1161 0.0000 0.0000 0.0000 3.1161 0.0000 0.0000 0.0000 6.4331" Properties=species:S:1:pos:R:3 pbc="T T T"
H 1.5580 1.5580 0.0000
Pa 0.0000 0.0000 4.9983
Pa 0.0000 0.0000 1.4348
Fe 1.5580 1.5580 3.2166
```

Values from the calculation:
- N(E_F): 1.15 states/eV/atom
- V: 62 Å³/cell
- VASP energy: -30.8 eV for the cell shown
- Calculated density: 13.795 g/cm³
- Magnetic moment: 0.287 μB/cell
- SG: P4/mmm